# 1
Compound: TcNiB
Source: Alexandria
Functional: GGA-PBE
Structure: optimized geometry

Cell and atoms, written as POSCAR:
```
TcNiB
1.0
4.3271 0.0000 -0.0010
0.0000 3.0206 0.0000
-2.3710 0.0000 9.5454
Ni B Tc
4 4 4
Cartesian
3.1315 0.0000 0.7854 Ni
-1.1754 0.0000 8.7590 Ni
1.9460 1.5103 5.5581 Ni
0.0101 1.5103 3.9863 Ni
2.0460 0.0000 6.9848 B
-0.0899 0.0000 2.5597 B
3.2315 1.5103 2.2120 B
-1.2754 1.5103 7.3324 B
2.1397 0.0000 3.4097 Tc
-0.1836 0.0000 6.1347 Tc
0.9543 1.5103 8.1824 Tc
1.0019 1.5103 1.3620 Tc
```

Values from the calculation:
energy of formation: -0.1965 eV per atom
M_tot: 0.00 Bohr magnetons per cell
space-group type: C2/m (12)
energy above the lowest structure with this stoichiometry: 0.102 eV/atom

# 2
Compound: InSiNi
Source: Alexandria
Functional: GGA-PBE
Structure: optimized geometry

Cell and atoms, written as POSCAR:
```
InSiNi
1.0
-3.8458 1.8849 0.5025
-3.2459 -2.1760 1.8236
-1.3733 1.0797 3.9426
In Ni Si
1 1 1
Cartesian
-6.3488 0.5915 4.7015 In
0.0000 0.0000 0.0000 Ni
-4.2325 0.3943 3.1343 Si
```

Values from the calculation:
M_tot: 0.00 Bohr magnetons per cell
space-group type: F-43m (216)
energy relative to the elements, uncorrected: 0.513 eV per atom